(1)
The following is a DFT calculation (SCAN) of Al2TcHg at its PBEsol-relaxed geometry.

Unit cell a=3.2505 b=3.2505 c=5.9216 alpha=90.00 beta=90.00 gamma=90.00
Space group P4/mmm (No. 123)
Symmetry-distinct sites (fractional):
Al  0.0000  0.0000  0.2133 x2
Tc  0.5000  0.5000  0.0000 x1
Hg  0.5000  0.5000  0.5000 x1

## Properties
- Calculated formation energy: -288 meV per atom
- V: 62.6 Å³/cell

(2)
The following is a DFT calculation (SCAN) of Al2TlTcHg at its PBEsol-relaxed geometry.

Unit cell a=5.0653 b=5.0653 c=5.3721 alpha=90.00 beta=90.00 gamma=90.00
Space group P4/mmm (No. 123)
Symmetry-distinct sites (fractional):
Al  0.0000  0.5000  0.0000 x2
Tl  0.0000  0.0000  0.0000 x1
Tc  0.5000  0.5000  0.5000 x1
Hg  0.0000  0.0000  0.5000 x1

## Properties
- Calculated formation energy: 1512 meV per atom
- V: 137.8 Å³/cell